Entry 1:
Density functional theory data (GGA-PBE) for an optimized crystal structure of CsCr2Mo.

Its formation energy is 1.80 eV per atom. Its theoretical density is 6.15 Mg/m³.

It has space group Fm-3m (No. 225), with a = 7.1095 Å, b = 7.1095 Å, c = 7.1095 Å, α = 90.00°, β = 90.00° and γ = 90.00°. The asymmetric unit holds Cs at (0.0000, 0.0000, 0.0000), Cr at (0.2500, 0.2500, 0.2500) and Mo at (0.0000, 0.0000, 0.5000).

Entry 2:
Density functional theory data (GGA-PBE) for an optimized crystal structure of TcAgBr2.

The calculation puts the energy above the most stable polymorph in this dataset at 285 meV per atom. Its theoretical density is 6.52 Mg/m³. The formation energy from raw total energies comes out at 0.495 eV per atom.

It has space group Imm2 (No. 44), with a = 3.2586 Å, b = 4.4825 Å, c = 12.7544 Å, α = 90.00°, β = 90.00° and γ = 90.00°. The asymmetric unit holds Tc at (0.0000, 0.0000, 0.0000), Ag at (0.0000, 0.5000, 0.6957), Br at (0.0000, 0.0000, 0.5253) and Br at (0.0000, 0.5000, 0.3124).

Entry 3:
Density functional theory data (GGA-PBE) for an optimized crystal structure of NiSb2I.

The calculation puts the energy above the most stable polymorph in this dataset at 279 meV per atom. Its theoretical density is 5.53 Mg/m³. The formation energy from raw total energies comes out at 0.168 eV per atom.

It has space group I-42d (No. 122), with a = 6.7523 Å, b = 6.7523 Å, c = 11.3129 Å, α = 90.00°, β = 90.00° and γ = 90.00°. The asymmetric unit holds Ni at (0.0000, 0.0000, 0.0000), Sb at (0.1409, 0.2500, 0.1250) and I at (0.0000, 0.0000, 0.5000).

Entry 4:
Density functional theory data (GGA-PBE) for an optimized crystal structure of AgC5.

Its formation energy is 2.19 eV per atom. The calculation puts the energy above the most stable polymorph in this dataset at 1321 meV per atom. Its theoretical density is 5.33 Mg/m³.

It has space group P4/mmm (No. 123), with a = 2.5346 Å, b = 2.5346 Å, c = 8.1388 Å, α = 90.00°, β = 90.00° and γ = 90.00°. The asymmetric unit holds Ag at (0.0000, 0.0000, 0.0000), C at (0.0000, 0.0000, 0.2725), C at (0.5000, 0.5000, 0.3329) and C at (0.5000, 0.5000, 0.5000).

Entry 5:
Density functional theory data (GGA-PBE) for an optimized crystal structure of CaBSb.

Its theoretical density is 4.19 Mg/m³. The formation energy from raw total energies comes out at -0.321 eV per atom.

It has space group C2/m (No. 12), with a = 11.5411 Å, b = 3.7055 Å, c = 6.4121 Å, α = 90.00°, β = 94.41° and γ = 90.00°. The asymmetric unit holds Ca at (0.1316, 0.0000, 0.2819), B at (0.0509, 0.5000, 0.5938) and Sb at (0.1368, 0.0000, 0.7704).

Entry 6:
Density functional theory data (GGA-PBE) for an optimized crystal structure of CaPmAs2Rh5.

Its formation energy is -0.61 eV per atom. Its theoretical density is 8.82 Mg/m³.

It has space group P4/mmm (No. 123), with a = 4.2751 Å, b = 4.2751 Å, c = 8.7470 Å, α = 90.00°, β = 90.00° and γ = 90.00°. The asymmetric unit holds Ca at (0.0000, 0.0000, 0.0000), Pm at (0.0000, 0.0000, 0.5000), As at (0.5000, 0.5000, 0.3481), Rh at (0.0000, 0.5000, 0.2277) and Rh at (0.5000, 0.5000, 0.0000).

So what do the calculations give for total energy? Going down the list: -5.93; -3.65; -3.73; -5.97; -4.59; -6.48 eV per atom.
So what do the calculations give for N(E_F)? Going down the list: 0.411; 0.619; 0.779; 0.175; 0.072; 0.677 states/eV per atom.